1.
Computed, not measured: a geometry-optimized La2MgGaRu structure at the PBE level of DFT.

Cell: 5.3144 5.3144 5.1416 Å, 90.00 90.00 90.00°
Positions (direct):
Ru1 0.0000 0.0000 0.0000
La1 0.5000 0.0000 0.0000
Ga1 0.5000 0.5000 0.5000
La2 0.0000 0.5000 0.0000
Mg1 0.0000 0.0000 0.5000

Summary:
Symmetry: P4/mmm
Relative energy among the computed polymorphs, meV per atom: 81.3
Calculated formation energy, eV per atom: -0.1728

2.
Computed, not measured: a geometry-optimized Be2IrAu structure at the PBE level of DFT.

Cell: 4.0556 4.0556 4.7943 Å, 75.18 75.18 42.73°
Positions (direct):
Ir1 0.2500 0.2500 0.2500
Au1 0.7500 0.7500 0.7500
Be1 0.9932 0.9932 0.0586
Be2 0.5068 0.5068 0.4414

Summary:
Symmetry: C2/m
Calculated formation energy, eV per atom: -0.1217

3.
Computed, not measured: a geometry-optimized FeOsAu2 structure at the PBE level of DFT.

Cell: 4.1249 3.9072 3.9072 Å, 90.00 90.00 90.00°
Each line ends with the local moment (μB).
Positions (direct):
Au1 0.0000 0.5000 0.5000  0.10
Fe1 0.5000 0.5000 0.0000  3.14
Au2 0.0000 0.0000 0.0000  0.10
Os1 0.5000 0.0000 0.5000  0.59

Summary:
Symmetry: P4/mmm
Relative energy among the computed polymorphs, meV per atom: 274.0
Calculated formation energy, eV per atom: 0.5217

4.
Computed, not measured: a geometry-optimized NaSnP2Cl structure at the PBE level of DFT.

Cell: 5.0563 5.0563 5.6801 Å, 90.00 90.00 90.00°
Each line ends with the local moment (μB).
Positions (direct):
P1 0.0000 0.5000 0.0000  0.18
Na1 0.5000 0.5000 0.5000  0.00
P2 0.5000 0.0000 0.0000  0.18
Cl1 0.0000 0.0000 0.5000  0.04
Sn1 0.0000 0.0000 0.0000  -0.01

Summary:
Raw formation energy, meV per atom: 194
Symmetry: P4/mmm
Relative energy among the computed polymorphs, meV per atom: 0.0

5.
Computed, not measured: a geometry-optimized BeFe3Ag structure at the PBE level of DFT.

Cell: 4.6567 4.6567 4.6567 Å, 90.00 90.00 90.00°
Each line ends with the local moment (μB).
Positions (direct):
Ag1 0.0000 0.0000 0.0000  0.11
Be1 0.5000 0.5000 0.5000  -0.11
Fe1 0.5000 0.0000 0.0000  2.50
Fe2 0.0000 0.0000 0.5000  3.64
Fe3 0.0000 0.5000 0.0000  3.13

Summary:
Symmetry: Pm-3m
Relative energy among the computed polymorphs, meV per atom: 1310.1
Calculated formation energy, eV per atom: 1.8944

6.
Computed, not measured: a geometry-optimized Hf2VIr2 structure at the PBE level of DFT.

Cell: 4.3513 4.3513 6.3055 Å, 69.82 69.82 90.00°
Each line ends with the local moment (μB).
Positions (direct):
V1 0.0000 0.0000 0.0000  2.71
Hf1 0.2500 0.7500 0.5000  0.05
Hf2 0.7500 0.2500 0.5000  0.05
Ir1 0.6138 0.6138 0.7725  0.02
Ir2 0.3862 0.3862 0.2275  0.02

Summary:
Symmetry: I4/mmm
Relative energy among the computed polymorphs, meV per atom: 420.2
Calculated formation energy, eV per atom: -0.1758

7.
Computed, not measured: a geometry-optimized SmAlNi5 structure at the PBE level of DFT.

Cell: 4.8423 7.9292 10.0509 Å, 90.00 90.00 90.00°
Positions (direct):
Ni1 0.0055 0.5658 0.8053
Sm1 0.2500 0.7473 0.5578
Ni2 0.2500 0.4481 0.4056
Ni3 0.9945 0.4342 0.1947
Ni4 0.5055 0.9342 0.3053
Ni5 0.4945 0.0658 0.6947
Ni6 0.9945 0.9342 0.3053
Ni7 0.2500 0.6861 0.2508
Sm2 0.2500 0.2473 0.9422
Ni8 0.2500 0.0963 0.4838
Ni9 0.7500 0.5519 0.5944
Al1 0.2500 0.8573 0.8574
Al2 0.2500 0.3573 0.6426
Al3 0.7500 0.6427 0.3574
Ni10 0.7500 0.9037 0.5162
Ni11 0.5055 0.4342 0.1947
Ni12 0.7500 0.8139 0.7508
Ni13 0.7500 0.3139 0.7492
Ni14 0.7500 0.4037 0.9838
Al4 0.7500 0.1427 0.1426
Ni15 0.7500 0.0519 0.9056
Ni16 0.2500 0.1861 0.2492
Sm3 0.7500 0.7527 0.0578
Ni17 0.2500 0.9481 0.0944
Ni18 0.0055 0.0658 0.6947
Ni19 0.4945 0.5658 0.8053
Sm4 0.7500 0.2527 0.4422
Ni20 0.2500 0.5963 0.0162

Summary:
Symmetry: Pnma
Calculated formation energy, eV per atom: -0.4043

8.
Computed, not measured: a geometry-optimized K2NbBiO5 structure at the PBE level of DFT.

Cell: 3.2310 8.5140 11.2711 Å, 90.00 90.00 100.94°
Positions (direct):
O1 0.4964 0.9928 0.3092
Bi1 0.5139 0.0279 0.9886
O2 0.2757 0.5515 0.6184
O3 0.5036 0.0072 0.8092
Nb1 0.7624 0.5248 0.5037
K1 0.1293 0.2587 0.2758
Bi2 0.4861 0.9721 0.4886
K2 0.1275 0.2550 0.7322
O4 0.7250 0.4501 0.8890
K3 0.8707 0.7413 0.7758
O5 0.6525 0.3051 0.5042
O6 0.8984 0.7967 0.5028
O7 0.7243 0.4485 0.1184
Nb2 0.2376 0.4752 0.0037
K4 0.8725 0.7450 0.2322
O8 0.2750 0.5499 0.3890
O9 0.3475 0.6949 0.0042
O10 0.1016 0.2033 0.0028

Summary:
Raw formation energy, meV per atom: -1842
Symmetry: Cmc2_1

9.
Computed, not measured: a geometry-optimized Tb4Pr3Dy structure at the PBE level of DFT.

Cell: 6.3364 7.3538 11.6178 Å, 90.00 90.00 90.00°
Positions (direct):
Tb1 0.6481 0.1222 0.0000
Dy1 0.1462 0.3706 0.0000
Pr1 0.4819 0.3736 0.7497
Tb2 0.4810 0.8779 0.2520
Dy2 0.6462 0.6294 0.5000
Tb3 0.1481 0.8779 0.0000
Pr2 0.1469 0.3723 0.5000
Tb4 0.1481 0.8778 0.5000
Tb5 0.4810 0.8779 0.7480
Tb6 0.9810 0.1221 0.2480
Pr3 0.9819 0.6264 0.2497
Pr4 0.6469 0.6277 0.0000
Pr5 0.4819 0.3736 0.2503
Tb7 0.9810 0.1221 0.7520
Pr6 0.9819 0.6264 0.7503
Tb8 0.6481 0.1221 0.5000

Summary:
Symmetry: Pmn2_1
Relative energy among the computed polymorphs, meV per atom: 0.0
Calculated formation energy, eV per atom: 0.0276

10.
Computed, not measured: a geometry-optimized KCaBr2 structure at the PBE level of DFT.

Cell: 5.6246 5.6246 5.6246 Å, 60.00 60.00 60.00°
Positions (direct):
Ca1 0.5000 0.5000 0.5000
Br1 0.7500 0.7500 0.7500
Br2 0.2500 0.2500 0.2500
K1 0.0000 0.0000 0.0000

Summary:
Raw formation energy, meV per atom: -1223
Symmetry: Fm-3m
Relative energy among the computed polymorphs, meV per atom: 261.0

11.
Computed, not measured: a geometry-optimized Tb9Er2Mg structure at the PBE level of DFT.

Cell: 4.9787 4.9787 15.0255 Å, 90.00 90.00 90.00°
Positions (direct):
Tb1 0.0000 0.5000 0.1648
Er1 0.0000 0.0000 0.3316
Tb2 0.0000 0.5000 0.5000
Tb3 0.5000 0.0000 0.5000
Er2 0.0000 0.0000 0.6684
Tb4 0.5000 0.0000 0.1648
Tb5 0.5000 0.5000 0.6703
Tb6 0.5000 0.0000 0.8352
Tb7 0.5000 0.5000 0.0000
Tb8 0.5000 0.5000 0.3297
Mg1 0.0000 0.0000 0.0000
Tb9 0.0000 0.5000 0.8352

Summary:
Symmetry: P4/mmm
Calculated formation energy, eV per atom: 0.0187

12.
Computed, not measured: a geometry-optimized MgOs2Pb structure at the PBE level of DFT.

Cell: 3.3305 3.3305 6.1372 Å, 90.00 90.00 90.00°
Positions (direct):
Pb1 0.5000 0.5000 0.2500
Mg1 0.5000 0.5000 0.7500
Os1 0.0000 0.0000 0.9822
Os2 0.0000 0.0000 0.5178

Summary:
Symmetry: P4/mmm
Calculated formation energy, eV per atom: 0.7994

Raw total energy: -4.923, -5.019, -6.040, -3.404, -4.499, -9.525, -5.743, -6.391, -4.655, -2.834, -4.347, -6.141 (eV per atom)
Ρ: 5.41, 13.14, 16.88, 2.73, 4.68, 12.63, 8.10, 5.02, 7.49, 3.15, 7.98, 14.93 (Mg/m³)